{
  "formula": "Cs3Er3CrS8",
  "functional": "PBE",
  "state": "relaxed",
  "n_ef_per_ev_cell": 8.366,
  "sg": "No. 166",
  "e_form_raw_mev_per_atom": -1514.7,
  "lattice_angstrom": [[7.8058, 0.0000, 0.0000], [-3.9029, 6.7629, -0.0286], [0.0000, -4.4785, 8.2428]],
  "species": ["S", "S", "S", "S", "S", "S", "S", "S", "Cr", "Cs", "Cs", "Cs", "Er", "Er", "Er"],
  "frac_coords": [[0.2083, 0.4167, 0.6683], [0.2727, 0.5454, 0.3182], [0.2481, 0.0398, 0.3317], [0.7917, 0.5833, 0.3317], [0.7917, 0.0398, 0.3317], [0.2082, 0.9602, 0.6683], [0.7519, 0.9602, 0.6683], [0.7273, 0.4546, 0.6818], [0.0000, 0.0000, 0.5000], [0.0000, 0.5000, 0.0000], [0.0000, 0.0000, 0.0000], [0.5000, 0.5000, 0.0000], [0.5000, 0.0000, 0.5000], [0.5000, 0.5000, 0.5000], [0.0000, 0.5000, 0.5000]]
}